i | Compound: LaFeW
Source: the Alexandria database
Functional: PBE-GGA
Structure: optimized geometry

```
LaFeW
1.0
0.000 3.105 3.105
3.105 0.000 3.105
3.105 3.105 0.000
La Fe W
1 1 1
Direct
0.000 0.000 0.000
0.750 0.750 0.750
0.250 0.250 0.250
```

ii | Compound: LaFeW
Source: the Alexandria database
Functional: PBE-GGA
Structure: optimized geometry

```
LaFeW
1.0
-1.556 1.556 5.970
1.556 -1.556 5.970
1.556 1.556 -5.970
La Fe W
1 1 1
Direct
0.000 0.000 0.000
0.700 0.700 0.000
0.292 0.292 0.000
```

The most stable structure shown above is ii; the least stable is i.